# FeP2O

A geometry-optimized FeP2O structure (PBE+U, the Alexandria database).

## Properties
Total DFT energy (no corrections)   -5.91 eV/atom
Space group   Pm, No. 6

The structure in extended XYZ format:
```
4
Lattice="4.4861 0.0000 0.0000 0.0000 3.3193 0.0000 -1.7071 0.0000 4.4337" Properties=species:S:1:pos:R:3 pbc="T T T"
Fe 0.0000 0.0000 0.0000
P 1.6173 0.0000 2.1570
P 2.3853 1.6596 0.8896
O -0.4748 1.6596 4.1559
```